# PrZn4 PBE-GGA relaxed
# Formation energy = 0.92 eV/atom
data_PrZn4
_chemical_formula_sum 'Pr1 Zn4'
_symmetry_space_group_name_H-M 'P m -3 m'
_symmetry_Int_Tables_number 221
_symmetry_space_group_name_Hall '-P 4 2 3'
_cell_length_a 5.806
_cell_length_b 5.806
_cell_length_c 5.806
_cell_angle_alpha 90.00
_cell_angle_beta 90.00
_cell_angle_gamma 90.00
loop_
_atom_site_label
_atom_site_fract_x
_atom_site_fract_y
_atom_site_fract_z
_atom_site_occupancy
Pr1 0.000 0.000 0.000 1
Zn1 0.000 0.000 0.500 1
Zn2 0.500 0.500 0.500 1

---

# BPdAuBr2 PBE-GGA relaxed
# Formation energy without anion corrections = 0.7785 eV/atom
data_BPdAuBr2
_chemical_formula_sum 'B1 Pd1 Au1 Br2'
_symmetry_space_group_name_H-M 'P 4/m m m'
_symmetry_Int_Tables_number 123
_symmetry_space_group_name_Hall '-P 4 2'
_cell_length_a 4.998
_cell_length_b 4.998
_cell_length_c 4.131
_cell_angle_alpha 90.00
_cell_angle_beta 90.00
_cell_angle_gamma 90.00
loop_
_atom_site_label
_atom_site_fract_x
_atom_site_fract_y
_atom_site_fract_z
_atom_site_occupancy
B1 0.000 0.000 0.000 1
Pd1 0.000 0.000 0.500 1
Au1 0.500 0.500 0.500 1
Br1 0.000 0.500 0.000 1

---

no.,E_tot (eV per atom)
1,-1.0575
2,-2.9201